1.
Here is crystalline MgBe2Se at its relaxed geometry from the Alexandria database. Energies are from PBE. Values from VASP.

Quantum ESPRESSO input file:
```
&SYSTEM
  ibrav = 0, nat = 4, ntyp = 3
/
ATOMIC_SPECIES
Mg 24.30 Mg.upf
Be 9.01 Be.upf
Se 78.96 Se.upf
CELL_PARAMETERS angstrom
7.154 0.014 0.009
6.364 3.268 0.009
6.364 1.545 2.880
ATOMIC_POSITIONS crystal
Mg 0.250 0.250 0.250
Be 0.481 0.481 0.481
Se 0.750 0.750 0.750
Be 0.019 0.019 0.019
```

Computed properties:
Uncorrected formation energy (eV/atom): 0.237
Space group: No. 166

2.
Here is crystalline MgBe2Se at its relaxed geometry from the Alexandria database. Energies are from PBE. Values from VASP.

Quantum ESPRESSO input file:
```
&SYSTEM
  ibrav = 0, nat = 4, ntyp = 3
/
ATOMIC_SPECIES
Be 9.01 Be.upf
Se 78.96 Se.upf
Mg 24.30 Mg.upf
CELL_PARAMETERS angstrom
0.000 3.105 3.105
3.105 0.000 3.105
3.105 3.105 0.000
ATOMIC_POSITIONS crystal
Be 0.250 0.250 0.250
Se 0.500 0.500 0.500
Mg 0.000 0.000 0.000
Be 0.750 0.750 0.750
```

Computed properties:
Uncorrected formation energy (eV/atom): 0.685
Space group: No. 225

3.
Here is crystalline Mg3BeSe at its relaxed geometry from the Alexandria database. Energies are from PBE. Values from VASP.

Quantum ESPRESSO input file:
```
&SYSTEM
  ibrav = 0, nat = 5, ntyp = 3
/
ATOMIC_SPECIES
Mg 24.30 Mg.upf
Be 9.01 Be.upf
Se 78.96 Se.upf
CELL_PARAMETERS angstrom
-2.992 3.872 -1.009
-2.320 -2.705 -3.502
-3.260 -1.628 3.417
ATOMIC_POSITIONS crystal
Mg 0.000 0.000 0.500
Mg 0.000 0.500 0.000
Mg 0.500 0.000 0.000
Be 0.500 0.500 0.500
Se 0.000 0.000 0.000
```

Computed properties:
Uncorrected formation energy (eV/atom): 0.426
Space group: No. 221

4.
Here is crystalline MgBeSe2 at its relaxed geometry from the Alexandria database. Energies are from PBE. Values from VASP.

Quantum ESPRESSO input file:
```
&SYSTEM
  ibrav = 0, nat = 4, ntyp = 3
/
ATOMIC_SPECIES
Mg 24.30 Mg.upf
Se 78.96 Se.upf
Be 9.01 Be.upf
CELL_PARAMETERS angstrom
-2.666 -4.014 -0.079
2.652 2.599 -3.072
5.668 -3.798 1.680
ATOMIC_POSITIONS crystal
Mg 0.500 0.500 0.750
Se 0.000 0.000 0.027
Se 0.000 0.000 0.473
Be 0.500 0.500 0.250
```

Computed properties:
Uncorrected formation energy (eV/atom): -0.431
Space group: No. 65

5.
Here is crystalline MgBe2Se at its relaxed geometry from the Alexandria database. Energies are from PBE. Values from VASP.

Quantum ESPRESSO input file:
```
&SYSTEM
  ibrav = 0, nat = 4, ntyp = 3
/
ATOMIC_SPECIES
Be 9.01 Be.upf
Mg 24.30 Mg.upf
Se 78.96 Se.upf
CELL_PARAMETERS angstrom
-0.934 0.524 -4.305
1.089 -3.169 -2.908
-3.172 -2.455 -1.897
ATOMIC_POSITIONS crystal
Be 0.250 0.250 0.250
Mg 0.500 0.500 0.500
Be 0.000 0.000 0.000
Se 0.750 0.750 0.750
```

Computed properties:
Uncorrected formation energy (eV/atom): 0.593
Space group: No. 216

6.
Here is crystalline MgBeSe2 at its relaxed geometry from the Alexandria database. Energies are from PBE. Values from VASP.

Quantum ESPRESSO input file:
```
&SYSTEM
  ibrav = 0, nat = 4, ntyp = 3
/
ATOMIC_SPECIES
Se 78.96 Se.upf
Mg 24.30 Mg.upf
Be 9.01 Be.upf
CELL_PARAMETERS angstrom
3.405 0.000 0.000
0.000 4.326 -0.637
0.000 -2.631 6.782
ATOMIC_POSITIONS crystal
Se 0.000 0.218 0.018
Se 0.000 0.282 0.482
Mg 0.500 0.750 0.750
Be 0.500 0.250 0.250
```

Computed properties:
Uncorrected formation energy (eV/atom): -0.488
Space group: No. 10

7.
Here is crystalline MgBe2Se at its relaxed geometry from the Alexandria database. Energies are from PBE. Values from VASP.

Quantum ESPRESSO input file:
```
&SYSTEM
  ibrav = 0, nat = 4, ntyp = 3
/
ATOMIC_SPECIES
Be 9.01 Be.upf
Mg 24.30 Mg.upf
Se 78.96 Se.upf
CELL_PARAMETERS angstrom
-0.181 1.649 -3.235
2.517 -2.294 -1.310
-3.383 -2.959 -1.319
ATOMIC_POSITIONS crystal
Be 0.000 0.000 0.000
Mg 0.500 0.000 0.500
Be 0.500 0.500 0.000
Se 0.000 0.500 0.500
```

Computed properties:
Uncorrected formation energy (eV/atom): 0.395
Space group: No. 47

8.
Here is crystalline Mg2BeSe at its relaxed geometry from the Alexandria database. Energies are from PBE. Values from VASP.

Quantum ESPRESSO input file:
```
&SYSTEM
  ibrav = 0, nat = 4, ntyp = 3
/
ATOMIC_SPECIES
Se 78.96 Se.upf
Mg 24.30 Mg.upf
Be 9.01 Be.upf
CELL_PARAMETERS angstrom
4.775 0.000 0.000
2.388 4.135 0.000
2.388 1.378 3.899
ATOMIC_POSITIONS crystal
Se 0.750 0.750 0.750
Mg 0.000 0.000 0.000
Be 0.500 0.500 0.500
Mg 0.250 0.250 0.250
```

Computed properties:
Uncorrected formation energy (eV/atom): 0.365
Space group: No. 216

9.
Here is crystalline MgBeSe2 at its relaxed geometry from the Alexandria database. Energies are from PBE. Values from VASP.

Quantum ESPRESSO input file:
```
&SYSTEM
  ibrav = 0, nat = 4, ntyp = 3
/
ATOMIC_SPECIES
Se 78.96 Se.upf
Be 9.01 Be.upf
Mg 24.30 Mg.upf
CELL_PARAMETERS angstrom
-7.056 6.725 -2.363
-6.353 4.155 -6.555
4.941 -7.047 5.149
ATOMIC_POSITIONS crystal
Se 0.000 0.000 0.000
Se 0.250 0.750 0.500
Be 0.500 0.500 0.000
Mg 0.750 0.250 0.500
```

Computed properties:
Uncorrected formation energy (eV/atom): -0.324
Space group: No. 119

10.
Here is crystalline MgBe2Se at its relaxed geometry from the Alexandria database. Energies are from PBE. Values from VASP.

Quantum ESPRESSO input file:
```
&SYSTEM
  ibrav = 0, nat = 8, ntyp = 3
/
ATOMIC_SPECIES
Be 9.01 Be.upf
Mg 24.30 Mg.upf
Se 78.96 Se.upf
CELL_PARAMETERS angstrom
6.120 0.000 0.000
0.000 6.120 0.000
3.060 3.060 4.130
ATOMIC_POSITIONS crystal
Be 0.375 0.319 0.750
Mg 0.250 0.750 0.500
Se 0.000 0.000 0.000
Mg 0.500 0.500 0.000
Be 0.069 0.625 0.250
Be 0.681 0.125 0.250
Se 0.750 0.250 0.500
Be 0.875 0.931 0.750
```

Computed properties:
Uncorrected formation energy (eV/atom): 0.280
Space group: No. 122

11.
Here is crystalline MgBeSe2 at its relaxed geometry from the Alexandria database. Energies are from PBE. Values from VASP.

Quantum ESPRESSO input file:
```
&SYSTEM
  ibrav = 0, nat = 8, ntyp = 3
/
ATOMIC_SPECIES
Be 9.01 Be.upf
Mg 24.30 Mg.upf
Se 78.96 Se.upf
CELL_PARAMETERS angstrom
5.685 0.000 0.000
0.000 5.685 0.000
2.842 2.842 5.376
ATOMIC_POSITIONS crystal
Be 0.500 0.500 0.000
Be 0.250 0.750 0.500
Mg 0.000 0.000 0.000
Se 0.577 0.125 0.250
Mg 0.750 0.250 0.500
Se 0.375 0.423 0.750
Se 0.173 0.625 0.250
Se 0.875 0.827 0.750
```

Computed properties:
Uncorrected formation energy (eV/atom): -0.968
Space group: No. 122

12.
Here is crystalline MgBe2Se at its relaxed geometry from the Alexandria database. Energies are from PBE. Values from VASP.

Quantum ESPRESSO input file:
```
&SYSTEM
  ibrav = 0, nat = 4, ntyp = 3
/
ATOMIC_SPECIES
Be 9.01 Be.upf
Se 78.96 Se.upf
Mg 24.30 Mg.upf
CELL_PARAMETERS angstrom
-1.441 -0.642 3.670
-0.320 -3.472 1.950
4.463 0.119 2.713
ATOMIC_POSITIONS crystal
Be 0.756 0.756 0.896
Be 0.069 0.069 0.855
Se 0.211 0.211 0.194
Mg 0.465 0.465 0.554
```

Computed properties:
Uncorrected formation energy (eV/atom): 0.005
Space group: No. 8

13.
Here is crystalline MgBe3Se at its relaxed geometry from the Alexandria database. Energies are from PBE. Values from VASP.

Quantum ESPRESSO input file:
```
&SYSTEM
  ibrav = 0, nat = 5, ntyp = 3
/
ATOMIC_SPECIES
Mg 24.30 Mg.upf
Be 9.01 Be.upf
Se 78.96 Se.upf
CELL_PARAMETERS angstrom
-3.426 0.868 2.626
-1.944 -3.729 -1.304
1.967 -2.174 3.285
ATOMIC_POSITIONS crystal
Mg 0.500 0.500 0.500
Be 0.000 0.000 0.500
Se 0.000 0.000 0.000
Be 0.500 0.000 0.000
Be 0.000 0.500 0.000
```

Computed properties:
Uncorrected formation energy (eV/atom): 0.900
Space group: No. 221

14.
Here is crystalline MgBeSe2 at its relaxed geometry from the Alexandria database. Energies are from PBE. Values from VASP.

Quantum ESPRESSO input file:
```
&SYSTEM
  ibrav = 0, nat = 4, ntyp = 3
/
ATOMIC_SPECIES
Se 78.96 Se.upf
Mg 24.30 Mg.upf
Be 9.01 Be.upf
CELL_PARAMETERS angstrom
5.547 4.262 1.544
6.650 0.383 2.635
6.856 1.566 -1.367
ATOMIC_POSITIONS crystal
Se 0.901 0.901 0.901
Mg 0.500 0.500 0.500
Se 0.099 0.099 0.099
Be 0.000 0.000 0.000
```

Computed properties:
Uncorrected formation energy (eV/atom): -0.684
Space group: No. 166

15.
Here is crystalline MgBeSe2 at its relaxed geometry from the Alexandria database. Energies are from PBE. Values from VASP.

Quantum ESPRESSO input file:
```
&SYSTEM
  ibrav = 0, nat = 8, ntyp = 3
/
ATOMIC_SPECIES
Be 9.01 Be.upf
Mg 24.30 Mg.upf
Se 78.96 Se.upf
CELL_PARAMETERS angstrom
3.890 0.000 0.000
1.945 6.412 1.008
-0.001 0.002 6.973
ATOMIC_POSITIONS crystal
Be 0.102 0.490 0.475
Be 0.360 0.973 0.243
Mg 0.849 0.994 0.721
Mg 0.609 0.476 0.996
Se 0.649 0.396 0.643
Se 0.408 0.876 0.949
Se 0.184 0.324 0.212
Se 0.925 0.843 0.398
```

Computed properties:
Uncorrected formation energy (eV/atom): -0.976
Space group: No. 8

16.
Here is crystalline MgBe2Se at its relaxed geometry from the Alexandria database. Energies are from PBE. Values from VASP.

Quantum ESPRESSO input file:
```
&SYSTEM
  ibrav = 0, nat = 4, ntyp = 3
/
ATOMIC_SPECIES
Mg 24.30 Mg.upf
Se 78.96 Se.upf
Be 9.01 Be.upf
CELL_PARAMETERS angstrom
4.226 0.000 0.000
0.000 3.609 -0.012
0.000 0.014 4.309
ATOMIC_POSITIONS crystal
Mg 0.500 0.250 0.250
Se 0.500 0.750 0.750
Be 0.000 0.749 0.490
Be 0.000 0.751 0.010
```

Computed properties:
Uncorrected formation energy (eV/atom): 0.205
Space group: No. 47

17.
Here is crystalline MgBeSe2 at its relaxed geometry from the Alexandria database. Energies are from PBE. Values from VASP.

Quantum ESPRESSO input file:
```
&SYSTEM
  ibrav = 0, nat = 4, ntyp = 3
/
ATOMIC_SPECIES
Se 78.96 Se.upf
Mg 24.30 Mg.upf
Be 9.01 Be.upf
CELL_PARAMETERS angstrom
-0.969 -0.526 -4.600
2.093 -3.442 -2.479
-2.521 -3.720 -1.475
ATOMIC_POSITIONS crystal
Se 0.000 0.000 0.000
Mg 0.750 0.750 0.750
Be 0.500 0.500 0.500
Se 0.250 0.250 0.250
```

Computed properties:
Uncorrected formation energy (eV/atom): 0.359
Space group: No. 216

18.
Here is crystalline MgBe2Se at its relaxed geometry from the Alexandria database. Energies are from PBE. Values from VASP.

Quantum ESPRESSO input file:
```
&SYSTEM
  ibrav = 0, nat = 4, ntyp = 3
/
ATOMIC_SPECIES
Be 9.01 Be.upf
Se 78.96 Se.upf
Mg 24.30 Mg.upf
CELL_PARAMETERS angstrom
-1.520 -2.036 4.169
3.908 -0.618 2.861
-2.474 3.567 -2.234
ATOMIC_POSITIONS crystal
Be 0.781 0.281 0.500
Se 0.211 0.711 0.500
Mg 0.502 0.502 0.000
Be 0.007 0.007 0.000
```

Computed properties:
Uncorrected formation energy (eV/atom): 0.365
Space group: No. 44

19.
Here is crystalline MgBeSe2 at its relaxed geometry from the Alexandria database. Energies are from PBE. Values from VASP.

Quantum ESPRESSO input file:
```
&SYSTEM
  ibrav = 0, nat = 4, ntyp = 3
/
ATOMIC_SPECIES
Mg 24.30 Mg.upf
Be 9.01 Be.upf
Se 78.96 Se.upf
CELL_PARAMETERS angstrom
4.660 0.022 0.000
-0.024 4.661 0.000
0.000 0.000 3.304
ATOMIC_POSITIONS crystal
Mg 0.000 0.500 0.500
Be 0.500 0.000 0.500
Se 0.500 0.500 0.000
Se 0.000 0.000 0.000
```

Computed properties:
Uncorrected formation energy (eV/atom): -0.016
Space group: No. 123

20.
Here is crystalline MgBeSe2 at its relaxed geometry from the Alexandria database. Energies are from PBE. Values from VASP.

Quantum ESPRESSO input file:
```
&SYSTEM
  ibrav = 0, nat = 4, ntyp = 3
/
ATOMIC_SPECIES
Se 78.96 Se.upf
Mg 24.30 Mg.upf
Be 9.01 Be.upf
CELL_PARAMETERS angstrom
-1.799 0.461 3.062
2.293 -2.182 1.675
3.537 4.762 1.360
ATOMIC_POSITIONS crystal
Se 0.500 0.500 0.345
Se 0.000 0.000 0.800
Mg 0.500 0.500 0.916
Be 0.000 0.000 0.439
```

Computed properties:
Uncorrected formation energy (eV/atom): -0.707
Space group: No. 99

Number 1: E above lowest polymorph 232 meV per atom, volume 16.72 Å³/atom, final energy -11.584 eV per cell. Number 2: E above lowest polymorph 680 meV per atom, volume 14.96 Å³/atom, final energy -9.792 eV per cell. Number 3: E above lowest polymorph 305 meV per atom, volume 24.94 Å³/atom, final energy -9.866 eV per cell. Number 4: E above lowest polymorph 544 meV per atom, volume 27.30 Å³/atom, final energy -14.016 eV per cell. Number 5: E above lowest polymorph 587 meV per atom, volume 15.44 Å³/atom, final energy -10.161 eV per cell. Number 6: E above lowest polymorph 488 meV per atom, volume 23.54 Å³/atom, final energy -14.241 eV per cell. Number 7: E above lowest polymorph 390 meV per atom, volume 15.53 Å³/atom, final energy -10.951 eV per cell. Number 8: E above lowest polymorph 536 meV per atom, volume 19.25 Å³/atom, final energy -8.941 eV per cell. Number 9: E above lowest polymorph 652 meV per atom, volume 29.97 Å³/atom, final energy -13.586 eV per cell. Number 10: E above lowest polymorph 275 meV per atom, volume 19.33 Å³/atom, final energy -22.824 eV per cell. Number 11: E above lowest polymorph 7 meV per atom, volume 21.71 Å³/atom, final energy -32.327 eV per cell. Number 12: E above lowest polymorph 0 meV per atom, volume 16.13 Å³/atom, final energy -12.511 eV per cell. Number 13: E above lowest polymorph 0 meV per atom, volume 17.07 Å³/atom, final energy -11.757 eV per cell. Number 14: E above lowest polymorph 292 meV per atom, volume 25.50 Å³/atom, final energy -15.025 eV per cell. Number 15: E above lowest polymorph 0 meV per atom, volume 21.74 Å³/atom, final energy -32.387 eV per cell. Number 16: E above lowest polymorph 200 meV per atom, volume 16.43 Å³/atom, final energy -11.710 eV per cell. Number 17: E above lowest polymorph 1335 meV per atom, volume 18.71 Å³/atom, final energy -10.853 eV per cell. Number 18: E above lowest polymorph 360 meV per atom, volume 15.45 Å³/atom, final energy -11.070 eV per cell. Number 19: E above lowest polymorph 960 meV per atom, volume 17.94 Å³/atom, final energy -12.353 eV per cell. Number 20: E above lowest polymorph 269 meV per atom, volume 19.52 Å³/atom, final energy -15.119 eV per cell.